Entry 1:
VCd3Cu GGA-PBE optimized geometry; calculated formation energy = 1078 meV/atom; space-group type = No. 221; calculated volume = 149.27 Å³ per cell
1.0
-1.739 -4.793 1.464
-0.424 -1.404 -5.098
4.994 -1.788 0.077
Cd Cu V
3 1 1
direct
0.000 0.500 0.000
0.000 0.000 0.500
0.500 0.000 0.000
0.500 0.500 0.500
0.000 0.000 0.000

=====

Entry 2:
ScPaCrOs GGA-PBE optimized geometry; calculated formation energy = -91 meV/atom; space-group type = No. 216; calculated volume = 73.54 Å³ per cell
1.0
-2.403 4.015 -0.467
-1.878 1.147 -4.156
-4.665 -0.106 -0.582
Sc Cr Pa Os
1 1 1 1
direct
0.750 0.750 0.750
0.000 0.000 0.000
0.250 0.250 0.250
0.500 0.500 0.500

=====

Entry 3:
ErIn2IrO8 GGA-PBE optimized geometry; E_tot = -6.3847 eV/atom; space-group type = No. 10; calculated volume = 160.85 Å³ per cell
1.0
-0.651 -4.889 0.321
2.171 0.101 4.431
-5.867 0.969 2.852
Er In Ir O
1 2 1 8
direct
0.000 0.000 0.500
0.500 0.500 0.750
0.500 0.500 0.250
0.000 0.000 0.000
0.185 0.814 0.214
0.717 0.718 0.000
0.815 0.186 0.214
0.815 0.186 0.786
0.283 0.282 0.000
0.185 0.814 0.786
0.691 0.693 0.500
0.309 0.307 0.500

=====

Entry 4:
Ba2PbF8 GGA-PBE optimized geometry; E_tot = -5.0627 eV/atom; space-group type = No. 8; calculated volume = 183.36 Å³ per cell
1.0
-3.312 2.103 -1.855
-3.022 -2.144 3.957
4.616 6.258 3.435
Pb Ba F
1 2 8
direct
0.066 0.033 0.000
0.332 0.357 0.665
0.667 0.692 0.335
0.846 0.125 0.780
0.066 0.345 0.220
0.262 0.789 0.536
0.551 0.892 0.000
0.726 0.253 0.464
0.939 0.658 0.811
0.128 0.846 0.189
0.410 0.344 0.000

=====

Entry 5:
Ca5CdSn3 GGA-PBE optimized geometry; calculated formation energy = -574 meV/atom; space-group type = No. 193; calculated volume = 532.86 Å³ per cell
1.0
6.840 0.000 0.000
0.000 9.485 0.000
0.000 -4.742 8.214
Ca Cd Sn
10 2 6
direct
0.000 0.667 0.333
0.500 0.333 0.667
0.000 0.333 0.667
0.500 0.667 0.333
0.750 0.710 0.710
0.750 0.000 0.290
0.750 0.290 0.000
0.250 0.290 0.290
0.250 0.000 0.710
0.250 0.710 0.000
0.000 0.000 0.000
0.500 0.000 0.000
0.750 0.372 0.372
0.750 0.000 0.628
0.750 0.628 0.000
0.250 0.628 0.628
0.250 0.000 0.372
0.250 0.372 0.000

=====

Entry 6:
SmBeN GGA-PBE optimized geometry; E_tot = -6.2723 eV/atom; space-group type = No. 194; calculated volume = 72.01 Å³ per cell
1.0
8.393 0.000 0.000
0.000 3.145 -0.124
0.000 -1.465 2.786
N Sm Be
2 2 2
direct
0.000 0.036 0.569
0.500 0.702 0.902
0.250 0.369 0.236
0.750 0.369 0.236
0.000 0.702 0.902
0.500 0.036 0.569

=====

Entry 7:
Rb12Pb3F5 GGA-PBE optimized geometry; E_tot = -2.8514 eV/atom; space-group type = No. 230; calculated volume = 3410.30 Å³ per cell
1.0
16.424 0.000 0.000
-5.475 15.484 0.000
-5.475 -7.742 13.410
Pb F Rb
12 20 48
direct
0.750 0.375 0.125
0.875 0.750 0.125
0.375 0.750 0.625
0.250 0.125 0.375
0.875 0.125 0.250
0.375 0.625 0.250
0.625 0.375 0.750
0.125 0.875 0.750
0.750 0.875 0.625
0.625 0.250 0.375
0.125 0.250 0.875
0.250 0.625 0.875
0.125 0.375 0.250
0.000 0.500 0.000
0.000 0.000 0.000
0.375 0.250 0.125
0.500 0.000 0.500
0.500 0.500 0.000
0.125 0.750 0.375
0.750 0.125 0.875
0.750 0.625 0.375
0.375 0.125 0.750
0.625 0.875 0.250
0.500 0.500 0.500
0.500 0.000 0.000
0.000 0.000 0.500
0.250 0.375 0.625
0.250 0.875 0.125
0.000 0.500 0.500
0.875 0.250 0.625
0.625 0.750 0.875
0.875 0.625 0.750
0.693 0.110 0.010
0.317 0.510 0.399
0.990 0.390 0.307
0.510 0.193 0.110
0.583 0.693 0.683
0.990 0.601 0.183
0.317 0.807 0.417
0.101 0.917 0.110
0.601 0.990 0.683
0.693 0.583 0.183
0.807 0.490 0.390
0.817 0.899 0.010
0.110 0.693 0.510
0.390 0.399 0.083
0.083 0.899 0.390
0.417 0.110 0.601
0.083 0.183 0.193
0.490 0.683 0.101
0.817 0.917 0.307
0.110 0.417 0.101
0.390 0.990 0.807
0.601 0.610 0.417
0.899 0.817 0.510
0.807 0.317 0.917
0.399 0.390 0.583
0.101 0.183 0.490
0.193 0.683 0.083
0.183 0.083 0.693
0.610 0.010 0.193
0.890 0.583 0.899
0.510 0.317 0.899
0.583 0.890 0.399
0.917 0.817 0.807
0.917 0.101 0.610
0.890 0.307 0.490
0.183 0.101 0.990
0.610 0.601 0.917
0.399 0.010 0.317
0.307 0.417 0.817
0.193 0.510 0.610
0.899 0.083 0.890
0.683 0.193 0.583
0.490 0.807 0.890
0.010 0.399 0.817
0.417 0.307 0.317
0.010 0.610 0.693
0.683 0.490 0.601
0.307 0.890 0.990

=====

Entry 8:
CrRhCl2 GGA-PBE optimized geometry; E_tot = -5.0561 eV/atom; space-group type = No. 10; calculated volume = 75.82 Å³ per cell
1.0
3.792 0.000 0.000
0.000 4.402 0.259
0.000 -0.176 4.532
Cr Rh Cl
1 1 2
direct
0.500 0.250 0.250
0.500 0.750 0.750
0.000 0.995 0.995
0.000 0.505 0.505

=====

Entry 9:
CaEuAs GGA-PBE optimized geometry; calculated formation energy = -905 meV/atom; space-group type = No. 216; calculated volume = 91.12 Å³ per cell
1.0
-0.470 4.644 1.930
-0.488 0.624 4.988
3.780 2.018 2.675
Eu As Ca
1 1 1
direct
0.500 0.500 0.500
0.250 0.250 0.250
0.000 0.000 0.000

=====

Entry 10:
La4GaGeBr2 GGA-PBE optimized geometry; E_tot = -4.9323 eV/atom; space-group type = No. 10; calculated volume = 247.84 Å³ per cell
1.0
4.453 0.000 0.000
0.000 7.745 0.135
0.000 -2.702 7.139
La Ga Ge Br
4 1 1 2
direct
0.500 0.241 0.224
0.500 0.759 0.776
0.000 0.257 0.773
0.000 0.743 0.227
0.500 0.500 0.000
0.000 0.000 0.000
0.500 0.000 0.500
0.000 0.500 0.500

=====

Entry 11:
Rb2ZnBr4 GGA-PBE optimized geometry; E_tot = -2.8362 eV/atom; space-group type = No. 33; calculated volume = 3194.60 Å³ per cell
1.0
29.623 0.000 0.000
0.000 13.792 0.000
0.000 0.000 7.819
Rb Zn Br
24 12 48
direct
0.669 0.819 0.762
0.331 0.181 0.262
0.831 0.319 0.262
0.169 0.681 0.762
0.792 0.086 0.771
0.208 0.914 0.271
0.708 0.586 0.271
0.292 0.414 0.771
0.834 0.675 0.768
0.166 0.325 0.268
0.666 0.175 0.268
0.334 0.825 0.768
0.960 0.412 0.712
0.040 0.588 0.212
0.540 0.912 0.212
0.460 0.088 0.712
0.499 0.318 0.210
0.501 0.682 0.710
0.001 0.818 0.710
0.999 0.182 0.210
0.877 0.908 0.229
0.123 0.092 0.729
0.623 0.408 0.729
0.377 0.592 0.229
0.594 0.082 0.729
0.406 0.918 0.229
0.906 0.582 0.229
0.094 0.418 0.729
0.741 0.914 0.252
0.259 0.086 0.752
0.759 0.414 0.752
0.241 0.586 0.252
0.573 0.580 0.251
0.427 0.420 0.751
0.927 0.080 0.751
0.073 0.920 0.251
0.675 0.070 0.698
0.325 0.930 0.198
0.825 0.570 0.198
0.175 0.430 0.698
0.557 0.925 0.679
0.443 0.075 0.179
0.943 0.425 0.179
0.057 0.575 0.679
0.565 0.199 0.522
0.435 0.801 0.022
0.935 0.699 0.022
0.065 0.301 0.522
0.569 0.138 0.009
0.431 0.862 0.509
0.931 0.638 0.509
0.069 0.362 0.009
0.661 0.924 0.210
0.339 0.076 0.710
0.839 0.424 0.710
0.161 0.576 0.210
0.777 0.069 0.321
0.223 0.931 0.821
0.723 0.569 0.821
0.277 0.431 0.321
0.776 0.863 0.980
0.224 0.137 0.480
0.724 0.363 0.480
0.276 0.637 0.980
0.760 0.793 0.469
0.240 0.207 0.969
0.740 0.293 0.969
0.260 0.707 0.469
0.493 0.563 0.309
0.507 0.437 0.809
0.007 0.063 0.809
0.993 0.937 0.309
0.610 0.426 0.182
0.390 0.574 0.682
0.890 0.926 0.682
0.110 0.074 0.182
0.587 0.698 0.027
0.413 0.302 0.527
0.913 0.198 0.527
0.087 0.802 0.027
0.609 0.636 0.517
0.391 0.364 0.017
0.891 0.136 0.017
0.109 0.864 0.517

=====

Entry 12:
AsAuCl GGA-PBE optimized geometry; E_tot = -3.4277 eV/atom; space-group type = No. 2; calculated volume = 179.39 Å³ per cell
1.0
4.776 -0.433 0.147
1.777 6.128 -0.277
2.537 0.735 6.000
As Au Cl
2 2 2
direct
0.177 0.158 0.615
0.243 0.752 0.665
0.624 0.245 0.667
0.796 0.665 0.614
0.045 0.730 0.038
0.375 0.181 0.242

=====

Entry 13:
BC2 GGA-PBE optimized geometry; calculated formation energy = 323 meV/atom; space-group type = No. 8; calculated volume = 76.53 Å³ per cell
1.0
-3.016 -2.027 -6.156
1.942 -0.788 -6.873
-0.145 -1.008 7.113
B C
4 8
direct
0.022 0.350 0.672
0.562 0.280 0.282
0.634 0.957 0.677
0.140 0.779 0.360
0.491 0.162 0.330
0.117 0.120 0.997
0.012 0.006 0.006
0.536 0.838 0.698
0.994 0.659 0.334
0.618 0.623 0.996
0.492 0.508 0.985
0.132 0.468 0.665

=====

Entry 14:
Nd2MgCo GGA-PBE optimized geometry; calculated formation energy = 190 meV/atom; space-group type = No. 166; calculated volume = 129.20 Å³ per cell
1.0
3.837 0.000 0.000
1.918 3.323 0.000
1.918 1.108 10.135
Co Mg Nd
1 1 2
direct
0.500 0.500 0.500
0.000 0.000 0.000
0.116 0.116 0.653
0.884 0.884 0.347

=====

Entry 15:
Tb2Ho2Tm3 GGA-PBE optimized geometry; calculated formation energy = 118 meV/atom; space-group type = No. 12; calculated volume = 219.41 Å³ per cell
1.0
-1.771 -0.600 2.915
-6.479 -2.968 -4.547
7.022 -5.119 1.155
Tb Ho Tm
2 2 3
direct
0.853 0.676 0.707
0.147 0.324 0.293
0.565 0.907 0.131
0.435 0.093 0.869
0.000 0.500 0.000
0.212 0.804 0.424
0.788 0.196 0.576

=====

Entry 16:
KBa3Co GGA-PBE optimized geometry; calculated formation energy = 256 meV/atom; space-group type = No. 221; calculated volume = 246.05 Å³ per cell
1.0
6.266 0.000 0.000
0.000 6.266 0.000
0.000 0.000 6.266
K Co Ba
1 1 3
direct
0.500 0.500 0.500
0.000 0.000 0.000
0.000 0.500 0.000
0.000 0.000 0.500
0.500 0.000 0.000

=====

Entry 17:
Ca12Sn4PbO3 GGA-PBE optimized geometry; E_tot = -4.0897 eV/atom; space-group type = No. 229; calculated volume = 529.40 Å³ per cell
1.0
-2.547 5.213 -6.652
-6.525 -0.627 5.912
7.151 3.442 3.864
Ca Sn Pb O
12 4 1 3
direct
0.250 0.500 0.750
0.722 0.000 0.722
0.278 0.000 0.278
0.750 0.500 0.250
0.722 0.722 0.000
0.278 0.278 0.000
0.750 0.250 0.500
0.250 0.750 0.500
0.500 0.250 0.750
0.000 0.722 0.722
0.500 0.750 0.250
0.000 0.278 0.278
0.500 0.500 0.500
0.000 0.000 0.500
0.500 0.000 0.000
0.000 0.500 0.000
0.000 0.000 0.000
0.500 0.000 0.500
0.500 0.500 0.000
0.000 0.500 0.500